A relaxed KAgSb2 crystal, computed with PBE.

- Polymorph energy (0 for the lowest one): 163 meV/atom
- Density of states at the Fermi level: 1.74 states/eV per cell
- M_tot: 0.000 μB/atom
- Uncorrected formation energy: 22 meV/atom

The structure in CIF format:
```
data_KAgSb2
_space_group_name_H-M_alt 'P 4 m m'
_space_group_IT_number 99
_space_group_name_Hall 'P 4 -2'
_cell_length_a 4.013
_cell_length_b 4.013
_cell_length_c 7.621
_cell_angle_alpha 90.00
_cell_angle_beta 90.00
_cell_angle_gamma 90.00
loop_
_atom_site_label
_atom_site_type_symbol
_atom_site_fract_x
_atom_site_fract_y
_atom_site_fract_z
_atom_site_occupancy
K1 K 0.000 0.000 0.000 1
Ag1 Ag 0.500 0.500 0.696 1
Sb1 Sb 0.000 0.000 0.500 1
Sb2 Sb 0.500 0.500 0.323 1
```


A relaxed K5AgSb2 crystal, computed with PBE.

- M_tot: 0.000 μB/atom
- Uncorrected formation energy: -410 meV/atom

The structure in CIF format:
```
data_K5AgSb2
_space_group_name_H-M_alt 'R -3 m'
_space_group_IT_number 166
_space_group_name_Hall '-R 3 2"'
_cell_length_a 6.0092
_cell_length_b 6.0092
_cell_length_c 29.3145
_cell_angle_alpha 90.00
_cell_angle_beta 90.00
_cell_angle_gamma 120.00
loop_
_atom_site_label
_atom_site_type_symbol
_atom_site_fract_x
_atom_site_fract_y
_atom_site_fract_z
_atom_site_occupancy
K1 K 0.0000 0.0000 0.0000 1
K2 K 0.0000 0.0000 0.1296 1
K3 K 0.0000 0.0000 0.2826 1
Ag1 Ag 0.0000 0.0000 0.5000 1
Sb1 Sb 0.0000 0.0000 0.4079 1
```


A relaxed KAg2Sb crystal, computed with PBE.

- Density of states at the Fermi level: 1.38 states/eV per cell
- M_tot: 0.000 μB/atom
- Uncorrected formation energy: 134 meV/atom

The structure in CIF format:
```
data_KAg2Sb
_space_group_name_H-M_alt 'C 1 2/m 1'
_space_group_IT_number 12
_space_group_name_Hall '-C 2y'
_cell_length_a 6.823
_cell_length_b 10.568
_cell_length_c 3.094
_cell_angle_alpha 90.00
_cell_angle_beta 116.78
_cell_angle_gamma 90.00
loop_
_atom_site_label
_atom_site_type_symbol
_atom_site_fract_x
_atom_site_fract_y
_atom_site_fract_z
_atom_site_occupancy
K1 K 0.000 0.000 0.000 1
Ag1 Ag 0.250 0.250 0.500 1
Sb1 Sb 0.000 0.500 0.000 1
```


A relaxed KAgSb crystal, computed with PBE.

- Polymorph energy (0 for the lowest one): 835 meV/atom
- Density of states at the Fermi level: 9.98 states/eV per cell
- M_tot: 0.356 μB/atom
- Uncorrected formation energy: 568 meV/atom

The structure in CIF format:
```
data_KAgSb
_space_group_name_H-M_alt 'F -4 3 m'
_space_group_IT_number 216
_space_group_name_Hall 'F -4 2 3'
_cell_length_a 7.575
_cell_length_b 7.575
_cell_length_c 7.575
_cell_angle_alpha 90.00
_cell_angle_beta 90.00
_cell_angle_gamma 90.00
loop_
_atom_site_label
_atom_site_type_symbol
_atom_site_fract_x
_atom_site_fract_y
_atom_site_fract_z
_atom_site_occupancy
K1 K 0.000 0.000 0.000 1
Ag1 Ag 0.250 0.250 0.250 1
Sb1 Sb 0.250 0.250 0.750 1
```


A relaxed K3AgSb crystal, computed with PBE.

- Polymorph energy (0 for the lowest one): 0 meV/atom
- Density of states at the Fermi level: 7.15 states/eV per cell
- M_tot: 0.166 μB/atom
- Uncorrected formation energy: -175 meV/atom

The structure in CIF format:
```
data_K3AgSb
_space_group_name_H-M_alt 'I m a 2'
_space_group_IT_number 46
_space_group_name_Hall 'I 2 -2a'
_cell_length_a 12.920
_cell_length_b 8.147
_cell_length_c 7.754
_cell_angle_alpha 90.00
_cell_angle_beta 90.00
_cell_angle_gamma 90.00
loop_
_atom_site_label
_atom_site_type_symbol
_atom_site_fract_x
_atom_site_fract_y
_atom_site_fract_z
_atom_site_occupancy
K1 K 0.003 0.249 0.000 1
K2 K 0.250 0.076 0.254 1
Ag1 Ag 0.250 0.750 0.004 1
Sb1 Sb 0.250 0.513 0.253 1
```


A relaxed KAgSb crystal, computed with PBE.

- Polymorph energy (0 for the lowest one): 277 meV/atom
- Density of states at the Fermi level: 12.20 states/eV per cell
- M_tot: 0.000 μB/atom
- Uncorrected formation energy: 9 meV/atom

The structure in CIF format:
```
data_KAgSb
_space_group_name_H-M_alt 'F -4 3 m'
_space_group_IT_number 216
_space_group_name_Hall 'F -4 2 3'
_cell_length_a 7.172
_cell_length_b 7.172
_cell_length_c 7.172
_cell_angle_alpha 90.00
_cell_angle_beta 90.00
_cell_angle_gamma 90.00
loop_
_atom_site_label
_atom_site_type_symbol
_atom_site_fract_x
_atom_site_fract_y
_atom_site_fract_z
_atom_site_occupancy
K1 K 0.000 0.000 0.000 1
Ag1 Ag 0.250 0.250 0.250 1
Sb1 Sb 0.000 0.000 0.500 1
```


A relaxed KAg6Sb2 crystal, computed with PBE.

- Density of states at the Fermi level: 3.76 states/eV per cell
- M_tot: 0.000 μB/atom
- Uncorrected formation energy: -63 meV/atom

The structure in CIF format:
```
data_KAg6Sb2
_space_group_name_H-M_alt 'P 4/m m m'
_space_group_IT_number 123
_space_group_name_Hall '-P 4 2'
_cell_length_a 4.837
_cell_length_b 4.837
_cell_length_c 9.103
_cell_angle_alpha 90.00
_cell_angle_beta 90.00
_cell_angle_gamma 90.00
loop_
_atom_site_label
_atom_site_type_symbol
_atom_site_fract_x
_atom_site_fract_y
_atom_site_fract_z
_atom_site_occupancy
K1 K 0.000 0.000 0.000 1
Ag1 Ag 0.000 0.000 0.500 1
Ag2 Ag 0.000 0.500 0.325 1
Ag3 Ag 0.500 0.500 0.500 1
Sb1 Sb 0.500 0.500 0.164 1
```


A relaxed KAgSb2 crystal, computed with PBE.

- Polymorph energy (0 for the lowest one): 187 meV/atom
- Density of states at the Fermi level: 8.06 states/eV per cell
- M_tot: 0.000 μB/atom
- Uncorrected formation energy: 45 meV/atom

The structure in CIF format:
```
data_KAgSb2
_space_group_name_H-M_alt 'R -3 m'
_space_group_IT_number 166
_space_group_name_Hall '-R 3 2"'
_cell_length_a 3.6359
_cell_length_b 3.6359
_cell_length_c 29.8449
_cell_angle_alpha 90.00
_cell_angle_beta 90.00
_cell_angle_gamma 120.00
loop_
_atom_site_label
_atom_site_type_symbol
_atom_site_fract_x
_atom_site_fract_y
_atom_site_fract_z
_atom_site_occupancy
K1 K 0.0000 0.0000 0.0000 1
Ag1 Ag 0.0000 0.0000 0.5000 1
Sb1 Sb 0.0000 0.0000 0.2352 1
```


A relaxed KAg2Sb crystal, computed with PBE.

- Density of states at the Fermi level: 0.00 states/eV per cell
- M_tot: 0.000 μB/atom
- Uncorrected formation energy: -105 meV/atom

The structure in CIF format:
```
data_KAg2Sb
_space_group_name_H-M_alt 'I 41/a m d'
_space_group_IT_number 141
_cell_length_a 5.713
_cell_length_b 5.713
_cell_length_c 18.027
_cell_angle_alpha 90.00
_cell_angle_beta 90.00
_cell_angle_gamma 90.00
loop_
_space_group_symop_operation_xyz
'x,y,z'
'-x,-y,-z'
'-y+1/4,x+3/4,z+1/4'
'y+1/4,-x+3/4,-z+1/4'
'-x+1/2,-y,z+1/2'
'x+1/2,y,-z+1/2'
'y+1/4,-x+1/4,z+3/4'
'-y+1/4,x+1/4,-z+3/4'
'x,-y,-z'
'-x,y,z'
'-y+1/4,-x+1/4,-z+3/4'
'y+1/4,x+1/4,z+3/4'
'-x+1/2,y,-z+1/2'
'x+1/2,-y,z+1/2'
'y+1/4,x+3/4,-z+1/4'
'-y+1/4,-x+3/4,z+1/4'
'x+1/2,y+1/2,z+1/2'
'-x+1/2,-y+1/2,-z+1/2'
'-y+3/4,x+1/4,z+3/4'
'y+3/4,-x+1/4,-z+3/4'
'-x,-y+1/2,z'
'x,y+1/2,-z'
'y+3/4,-x+3/4,z+1/4'
'-y+3/4,x+3/4,-z+1/4'
'x+1/2,-y+1/2,-z+1/2'
'-x+1/2,y+1/2,z+1/2'
'-y+3/4,-x+3/4,-z+1/4'
'y+3/4,x+3/4,z+1/4'
'-x,y+1/2,-z'
'x,-y+1/2,z'
'y+3/4,x+1/4,-z+3/4'
'-y+3/4,-x+1/4,z+3/4'
loop_
_atom_site_label
_atom_site_type_symbol
_atom_site_fract_x
_atom_site_fract_y
_atom_site_fract_z
_atom_site_occupancy
K1 K 0.000 0.250 0.375 1
Ag1 Ag 0.000 0.000 0.000 1
Sb1 Sb 0.000 0.250 0.875 1
```


A relaxed KAgSb2 crystal, computed with PBE.

- Polymorph energy (0 for the lowest one): 85 meV/atom
- Density of states at the Fermi level: 0.73 states/eV per cell
- M_tot: 0.000 μB/atom
- Uncorrected formation energy: -56 meV/atom

The structure in CIF format:
```
data_KAgSb2
_space_group_name_H-M_alt 'P m m 2'
_space_group_IT_number 25
_space_group_name_Hall 'P 2 -2'
_cell_length_a 3.327
_cell_length_b 5.536
_cell_length_c 6.067
_cell_angle_alpha 90.00
_cell_angle_beta 90.00
_cell_angle_gamma 90.00
loop_
_atom_site_label
_atom_site_type_symbol
_atom_site_fract_x
_atom_site_fract_y
_atom_site_fract_z
_atom_site_occupancy
K1 K 0.000 0.000 0.000 1
Ag1 Ag 0.500 0.500 0.244 1
Sb1 Sb 0.500 0.000 0.497 1
Sb2 Sb 0.500 0.500 0.732 1
```


A relaxed K2Ag5Sb4 crystal, computed with PBE.

- Density of states at the Fermi level: 15.63 states/eV per cell
- M_tot: 0.000 μB/atom
- Uncorrected formation energy: -73 meV/atom

The structure in CIF format:
```
data_K2Ag5Sb4
_space_group_name_H-M_alt 'F m m m'
_space_group_IT_number 69
_space_group_name_Hall '-F 2 2'
_cell_length_a 6.301
_cell_length_b 13.243
_cell_length_c 15.729
_cell_angle_alpha 90.00
_cell_angle_beta 90.00
_cell_angle_gamma 90.00
loop_
_atom_site_label
_atom_site_type_symbol
_atom_site_fract_x
_atom_site_fract_y
_atom_site_fract_z
_atom_site_occupancy
K1 K 0.000 0.153 0.000 1
Ag1 Ag 0.000 0.000 0.500 1
Ag2 Ag 0.250 0.000 0.250 1
Ag3 Ag 0.250 0.250 0.250 1
Sb1 Sb 0.000 0.126 0.358 1
```


A relaxed KAgSb2 crystal, computed with PBE.

- Polymorph energy (0 for the lowest one): 202 meV/atom
- Density of states at the Fermi level: 5.05 states/eV per cell
- M_tot: 0.000 μB/atom
- Uncorrected formation energy: 61 meV/atom

The structure in CIF format:
```
data_KAgSb2
_space_group_name_H-M_alt 'I m m 2'
_space_group_IT_number 44
_space_group_name_Hall 'I 2 -2'
_cell_length_a 4.136
_cell_length_b 5.525
_cell_length_c 10.272
_cell_angle_alpha 90.00
_cell_angle_beta 90.00
_cell_angle_gamma 90.00
loop_
_atom_site_label
_atom_site_type_symbol
_atom_site_fract_x
_atom_site_fract_y
_atom_site_fract_z
_atom_site_occupancy
K1 K 0.000 0.000 0.000 1
Ag1 Ag 0.000 0.500 0.212 1
Sb1 Sb 0.000 0.000 0.495 1
Sb2 Sb 0.000 0.500 0.783 1
```